No. 1
A relaxed structure of K2ScSe, computed with PBE.

a = 6.3491 Å, b = 6.3491 Å, c = 6.3491 Å
α = 134.19°, β = 134.19°, γ = 66.79°
Closest atoms and distances in Å follow each position.
Atoms (fractional coordinates):
1 K 0.0000 0.0000 0.0000  4 Sc 3.49, 4 K 3.62, 4 Se 3.62
2 K 0.2500 0.7500 0.5000  4 Se 3.49, 4 K 3.62, 4 Sc 3.62
3 Sc 0.5000 0.5000 0.0000  8 K 3.49-3.62, 4 Se 3.62
4 Se 0.7500 0.2500 0.5000  8 K 3.49-3.62, 4 Sc 3.62

Calculated values
The value obtained for the uncorrected formation energy is 5 kJ per mole of atoms.

=====

No. 2
A relaxed structure of K2ScSe, computed with PBE.

a = 7.4756 Å, b = 7.4756 Å, c = 7.4756 Å
α = 150.20°, β = 131.30°, γ = 58.14°
Closest atoms and distances in Å follow each position.
Atoms (fractional coordinates):
1 K 0.0623 0.0623 0.0000  2 Se 3.45, 4 K 3.84-3.85
2 K 0.7383 0.2383 0.5000  4 Se 3.68, 4 K 3.84-3.85, 2 Sc 3.87
3 Sc 0.4175 0.4175 0.0000  2 Se 2.61
4 Se 0.2819 0.7819 0.5000  2 Sc 2.61

Calculated values
The value obtained for the uncorrected formation energy is -44 kJ per mole of atoms.

=====

No. 3
A relaxed structure of K2ScSe, computed with PBE.

a = 4.0940 Å, b = 4.0940 Å, c = 11.3500 Å
α = 80.53°, β = 80.53°, γ = 59.98°
Closest atoms and distances in Å follow each position.
Atoms (fractional coordinates):
1 K 0.9641 0.9641 0.0827  3 Se 3.37
2 K 0.7719 0.7719 0.7125  6 K 4.09, 3 Sc 4.14-4.15
3 Sc 0.5322 0.5322 0.4067  3 Se 2.65-2.66
4 Se 0.2319 0.2319 0.2981  3 Sc 2.65-2.66

Calculated values
The value obtained for the uncorrected formation energy is -54 kJ per mole of atoms.

=====

No. 4
A relaxed structure of KScSe2, computed with PBE.

a = 9.0844 Å, b = 6.3569 Å, c = 3.9088 Å
α = 90.11°, β = 90.03°, γ = 92.29°
Closest atoms and distances in Å follow each position.
Atoms (fractional coordinates):
1 Sc 0.9152 0.9396 0.9619  5 Se 2.66-2.74
2 Sc 0.6702 0.5646 0.4598  5 Se 2.66-2.74
3 K 0.1740 0.4950 0.4589  6 Se 3.21-3.35
4 K 0.4114 0.0092 0.9629  6 Se 3.21-3.35
5 Se 0.7066 0.9822 0.4617  3 Sc 2.66-2.74
6 Se 0.8789 0.5221 0.9601  3 Sc 2.66-2.74
7 Se 0.1119 0.9946 0.4625  2 Sc 2.66
8 Se 0.4736 0.5096 0.9592  2 Sc 2.66

Calculated values
The value obtained for the uncorrected formation energy is -150 kJ per mole of atoms.

=====

No. 5
A relaxed structure of KScSe2, computed with PBE.

a = 3.9973 Å, b = 3.9973 Å, c = 8.0510 Å
α = 75.61°, β = 75.61°, γ = 60.00°
Closest atoms and distances in Å follow each position.
Atoms (fractional coordinates):
1 Sc 0.4954 0.6059 0.0383  6 Se 2.75-2.76
2 K 0.6638 0.7750 0.5321  6 Se 3.27-3.33
3 Se 0.0974 0.2080 0.2320  3 Sc 2.75
4 Se 0.8937 0.0045 0.8433  3 Sc 2.75-2.76

Calculated values
The value obtained for the uncorrected formation energy is -155 kJ per mole of atoms.

=====

No. 6
A relaxed structure of KScSe2, computed with PBE.

a = 17.7776 Å, b = 8.2104 Å, c = 8.2104 Å
α = 90.00°, β = 110.32°, γ = 69.68°
Closest atoms and distances in Å follow each position.
Atoms (fractional coordinates):
1 Sc 0.1525 0.1363 0.2423  4 Se 2.57-2.58
2 Sc 0.3475 0.7423 0.6363  4 Se 2.57-2.58
3 Sc 0.8475 0.8637 0.7577  4 Se 2.57-2.58
4 Sc 0.6525 0.2577 0.3637  4 Se 2.57-2.58
5 Sc 0.3474 0.2371 0.6362  4 Se 2.57-2.58
6 Sc 0.1526 0.1362 0.7371  4 Se 2.57-2.58
7 Sc 0.6526 0.7629 0.3638  4 Se 2.57-2.58
8 Sc 0.8474 0.8638 0.2629  4 Se 2.57-2.58
9 K 0.3807 0.4658 0.1619  6 Se 3.35-3.50
10 K 0.1193 0.6619 0.9658  6 Se 3.35-3.50
11 K 0.6193 0.5342 0.8381  6 Se 3.35-3.50
12 K 0.8807 0.3381 0.0342  6 Se 3.35-3.50
13 K 0.3808 0.9637 0.1614  6 Se 3.35-3.55
14 K 0.1192 0.6614 0.4637  6 Se 3.35-3.55
15 K 0.6192 0.0363 0.8386  6 Se 3.35-3.55
16 K 0.8808 0.3386 0.5363  6 Se 3.35-3.55
17 Se 0.9487 0.7884 0.5864  2 Sc 2.57
18 Se 0.5513 0.0864 0.2884  2 Sc 2.57
19 Se 0.0513 0.2116 0.4136  2 Sc 2.57
20 Se 0.4487 0.9136 0.7116  2 Sc 2.57
21 Se 0.7499 0.1917 0.1822  2 Sc 2.58
22 Se 0.7501 0.6822 0.6917  2 Sc 2.58
23 Se 0.2501 0.8083 0.8178  2 Sc 2.58
24 Se 0.2499 0.3178 0.3083  2 Sc 2.58
25 Se 0.5548 0.5837 0.2913  2 Sc 2.57
26 Se 0.9452 0.7913 0.0837  2 Sc 2.57
27 Se 0.4452 0.4163 0.7087  2 Sc 2.57
28 Se 0.0548 0.2087 0.9163  2 Sc 2.57
29 Se 0.7500 0.1916 0.6916  2 Sc 2.58
30 Se 0.2500 0.8084 0.3084  2 Sc 2.58
31 Se 0.7500 0.6824 0.1824  2 Sc 2.58
32 Se 0.2500 0.3176 0.8176  2 Sc 2.58

Calculated values
The value obtained for the uncorrected formation energy is -145 kJ per mole of atoms.

=====

Which of these has the lowest uncorrected formation energy? number 5